Record 1
VASP calculation (PBE-GGA) on a geometry-optimized FeRe2Br2 structure.

As for the space group: I4/mmm. Its energy relative to the elements, uncorrected is 8.608 eV/f.u. The volume is 193 Å³/cell. As for the total energy: -5.619 eV/atom.

Cell lengths 4.259, 4.259, 10.623 Å; angles 90.00, 90.00, 90.00 degrees
Sites, in units of the cell vectors:
Fe (0.000, 0.000, 0.000)
Fe (0.500, 0.500, 0.500)
Re (0.000, 0.500, 0.250)
Re (0.000, 0.500, 0.750)
Re (0.500, 0.000, 0.250)
Re (0.500, 0.000, 0.750)
Br (0.000, 0.000, 0.369)
Br (0.000, 0.000, 0.631)
Br (0.500, 0.500, 0.131)
Br (0.500, 0.500, 0.869)


Record 2
VASP calculation (PBE-GGA) on a geometry-optimized Fe4ReBr structure.

As for the space group: F-43m. Its energy relative to the elements, uncorrected is 4.827 eV/f.u. The volume is 81 Å³/cell. As for the total energy: -7.191 eV/atom.

Cell lengths 4.852, 4.852, 4.852 Å; angles 60.00, 60.00, 60.00 degrees
Sites, in units of the cell vectors:
Fe (0.124, 0.124, 0.124)
Fe (0.124, 0.124, 0.627)
Fe (0.124, 0.627, 0.124)
Fe (0.627, 0.124, 0.124)
Re (0.750, 0.750, 0.750)
Br (0.500, 0.500, 0.500)


Record 3
VASP calculation (PBE-GGA) on a geometry-optimized FeReBr structure.

As for the space group: P3m1. Its energy relative to the elements, uncorrected is 2.156 eV/f.u. The volume is 49 Å³/cell. The energy above the most stable polymorph in this dataset is 0 meV/atom. As for the total energy: -6.809 eV/atom.

Cell lengths 3.055, 3.055, 6.044 Å; angles 90.00, 90.00, 120.00 degrees
Sites, in units of the cell vectors:
Fe (0.000, 0.000, 0.000)
Re (0.667, 0.333, 0.282)
Br (0.333, 0.667, 0.652)


Record 4
VASP calculation (PBE-GGA) on a geometry-optimized FeRe2Br structure.

As for the space group: P4mm. Its energy relative to the elements, uncorrected is 2.462 eV/f.u. The volume is 65 Å³/cell. The energy above the most stable polymorph in this dataset is 89 meV/atom. As for the total energy: -8.143 eV/atom.

Cell lengths 3.017, 3.017, 7.123 Å; angles 90.00, 90.00, 90.00 degrees
Sites, in units of the cell vectors:
Fe (0.000, 0.000, 0.000)
Re (0.000, 0.000, 0.454)
Re (0.500, 0.500, 0.251)
Br (0.500, 0.500, 0.766)


Record 5
VASP calculation (PBE-GGA) on a geometry-optimized FeRe2Br structure.

As for the space group: Pmmm. Its energy relative to the elements, uncorrected is 2.732 eV/f.u. The volume is 68 Å³/cell. The energy above the most stable polymorph in this dataset is 156 meV/atom. As for the total energy: -8.075 eV/atom.

Cell lengths 3.020, 3.207, 6.986 Å; angles 90.00, 90.00, 90.00 degrees
Sites, in units of the cell vectors:
Fe (0.000, 0.000, 0.000)
Re (0.500, 0.500, 0.179)
Re (0.500, 0.500, 0.821)
Br (0.500, 0.000, 0.500)


Record 6
VASP calculation (PBE-GGA) on a geometry-optimized FeRe2Br structure.

As for the space group: Imm2. Its energy relative to the elements, uncorrected is 4.113 eV/f.u. The volume is 118 Å³/cell. The energy above the most stable polymorph in this dataset is 502 meV/atom. As for the total energy: -7.730 eV/atom.

Cell lengths 2.936, 4.471, 8.959 Å; angles 90.00, 90.00, 90.00 degrees
Sites, in units of the cell vectors:
Fe (0.000, 0.000, 0.000)
Fe (0.500, 0.500, 0.500)
Re (0.000, 0.000, 0.523)
Re (0.000, 0.500, 0.765)
Re (0.500, 0.000, 0.265)
Re (0.500, 0.500, 0.023)
Br (0.000, 0.500, 0.265)
Br (0.500, 0.000, 0.765)


Record 7
VASP calculation (PBE-GGA) on a geometry-optimized FeRe3Br structure.

As for the space group: Pm-3m. Its energy relative to the elements, uncorrected is 13.409 eV/f.u. The volume is 91 Å³/cell. The energy above the most stable polymorph in this dataset is 625 meV/atom. As for the total energy: -6.814 eV/atom.

Cell lengths 4.492, 4.492, 4.492 Å; angles 90.00, 90.00, 90.00 degrees
Sites, in units of the cell vectors:
Fe (0.000, 0.000, 0.000)
Re (0.000, 0.500, 0.500)
Re (0.500, 0.000, 0.500)
Re (0.500, 0.500, 0.000)
Br (0.500, 0.500, 0.500)


Record 8
VASP calculation (PBE-GGA) on a geometry-optimized FeRe2Br structure.

As for the space group: Cmm2. Its energy relative to the elements, uncorrected is 2.997 eV/f.u. The volume is 136 Å³/cell. The energy above the most stable polymorph in this dataset is 223 meV/atom. As for the total energy: -8.009 eV/atom.

Cell lengths 2.970, 4.738, 9.632 Å; angles 90.00, 90.00, 90.00 degrees
Sites, in units of the cell vectors:
Fe (0.000, 0.000, 0.000)
Fe (0.500, 0.500, 0.000)
Re (0.000, 0.000, 0.441)
Re (0.000, 0.500, 0.220)
Re (0.500, 0.000, 0.220)
Re (0.500, 0.500, 0.441)
Br (0.000, 0.500, 0.781)
Br (0.500, 0.000, 0.781)


Record 9
VASP calculation (PBE-GGA) on a geometry-optimized FeReBr4 structure.

As for the space group: F-43m. Its energy relative to the elements, uncorrected is 10.884 eV/f.u. The volume is 167 Å³/cell. As for the total energy: -2.786 eV/atom.

Cell lengths 6.185, 6.185, 6.185 Å; angles 60.00, 60.00, 60.00 degrees
Sites, in units of the cell vectors:
Fe (0.000, 0.000, 0.000)
Re (0.750, 0.750, 0.750)
Br (0.375, 0.375, 0.375)
Br (0.375, 0.375, 0.876)
Br (0.375, 0.876, 0.375)
Br (0.876, 0.375, 0.375)


Record 10
VASP calculation (PBE-GGA) on a geometry-optimized FeRe2Br structure.

As for the space group: R-3m. Its energy relative to the elements, uncorrected is 3.222 eV/f.u. The volume is 182 Å³/cell. The energy above the most stable polymorph in this dataset is 279 meV/atom. As for the total energy: -7.952 eV/atom.

Cell lengths 2.877, 2.877, 25.391 Å; angles 90.00, 90.00, 120.00 degrees
Sites, in units of the cell vectors:
Fe (0.000, 0.000, 0.000)
Fe (0.333, 0.667, 0.667)
Fe (0.667, 0.333, 0.333)
Re (0.000, 0.000, 0.255)
Re (0.000, 0.000, 0.745)
Re (0.333, 0.667, 0.412)
Re (0.333, 0.667, 0.922)
Re (0.667, 0.333, 0.078)
Re (0.667, 0.333, 0.588)
Br (0.000, 0.000, 0.500)
Br (0.333, 0.667, 0.167)
Br (0.667, 0.333, 0.833)


Record 11
VASP calculation (PBE-GGA) on a geometry-optimized FeRe2Br structure.

As for the space group: Cmmm. Its energy relative to the elements, uncorrected is 3.430 eV/f.u. The volume is 165 Å³/cell. The energy above the most stable polymorph in this dataset is 331 meV/atom. As for the total energy: -7.901 eV/atom.

Cell lengths 3.001, 4.303, 12.746 Å; angles 90.00, 90.00, 90.00 degrees
Sites, in units of the cell vectors:
Fe (0.000, 0.000, 0.000)
Fe (0.500, 0.500, 0.000)
Re (0.000, 0.500, 0.163)
Re (0.000, 0.500, 0.837)
Re (0.500, 0.000, 0.163)
Re (0.500, 0.000, 0.837)
Br (0.000, 0.000, 0.500)
Br (0.500, 0.500, 0.500)


Record 12
VASP calculation (PBE-GGA) on a geometry-optimized FeReBr structure.

As for the space group: I4mm. Its energy relative to the elements, uncorrected is 2.464 eV/f.u. The volume is 97 Å³/cell. The energy above the most stable polymorph in this dataset is 103 meV/atom. As for the total energy: -6.706 eV/atom.

Cell lengths 2.948, 2.948, 11.144 Å; angles 90.00, 90.00, 90.00 degrees
Sites, in units of the cell vectors:
Fe (0.000, 0.000, 0.000)
Fe (0.500, 0.500, 0.500)
Re (0.000, 0.000, 0.627)
Re (0.500, 0.500, 0.127)
Br (0.000, 0.000, 0.303)
Br (0.500, 0.500, 0.803)